Density functional theory data (PBE) for crystalline LaNd3Pt at its relaxed geometry.

Results
VASP energy	-5.53	eV/atom
energy of formation from the pure elements	-2.4	eV/f.u.
distance to the lowest polymorph of the same formula	0.000	eV per atom

Cell: 3.9180 6.5005 13.1847 Å, 82.76 81.46 72.46°
Closest atoms and distances in Å follow each position.
Fractional coordinates of all 10 atoms:
La 0.1020 0.4987 0.2972  2 Pt 2.98
La 0.2236 0.5518 0.0010  2 Pt 2.96
Nd 0.4453 0.9618 0.1476  2 Pt 3.07
Nd 0.7632 0.7124 0.7613  2 Pt 3.08
Nd 0.1134 0.1590 0.6142  2 Pt 2.96
Nd 0.9877 0.1220 0.9026  2 Pt 2.95
Nd 0.7934 0.0303 0.3829  1 Pt 3.48, 3 La 3.57-3.60, 6 Nd 3.59-3.74
Nd 0.4213 0.6276 0.5298  1 Pt 3.35, 7 Nd 3.56-3.67
Pt 0.7549 0.3424 0.1479  4 La 2.96-2.98, 2 Nd 3.07
Pt 0.4561 0.3308 0.7570  6 Nd 2.95-3.08